The following is a DFT calculation (PBE) of a geometry-optimized Nb3PdC structure.

**Space-group type**: Pm-3m
**V**: 22.40 Å³ per atom
**Energy of formation**: 2.50 eV/atom
**Energy above the most stable polymorph in this dataset**: 2.8448 eV/atom
**Energy**: -6.428 eV per atom

Unit cell a=4.8204 b=4.8204 c=4.8204 alpha=90.00 beta=90.00 gamma=90.00
Element x y z (fractional)
Nb 0.0000 0.0000 0.5000
Nb 0.0000 0.5000 0.0000
Nb 0.5000 0.0000 0.0000
Pd 0.0000 0.0000 0.0000
C 0.5000 0.5000 0.5000